This record from Alexandria via LeMat-Bulk describes a relaxed IrRuW2 crystal. The functional is PBE.

Calculated values
Space group ... No. 99
ΔE to the lowest computed polymorph ... 164.7 meV per atom
Calculated volume ... 61 Å³/cell
E_tot ... -43.95 eV/cell
Total moment ... 0.000 μB/cell
Energy of formation from the pure elements ... 0.09 eV/f.u.

a b c (Å): 2.7692 2.7692 7.9568
angles (deg): 90.00 90.00 90.00
Closest atoms and distances in Å follow each position.
Fractional positions:
Ru1 0.5000 0.5000 0.7496  4 W 2.73, 4 Ru 2.77, 4 Ir 2.78
Ir1 0.0000 0.0000 0.5014  4 W 2.74, 4 Ir 2.77, 4 Ru 2.78
W1 0.5000 0.5000 0.2609  4 Ir 2.74, 8 W 2.77-2.92
W2 0.0000 0.0000 0.9882  4 Ru 2.73, 8 W 2.77-2.92

=====

This record from Alexandria via LeMat-Bulk describes a relaxed IrRu4W crystal. The functional is PBE.

Calculated values
Space group ... No. 216
ΔE to the lowest computed polymorph ... 520.6 meV per atom
Calculated volume ... 90 Å³/cell
E_tot ... -56.17 eV/cell
Total moment ... 0.004 μB/cell
Energy of formation from the pure elements ... 2.74 eV/f.u.

a b c (Å): 5.0254 5.0254 5.0254
angles (deg): 60.00 60.00 60.00
Closest atoms and distances in Å follow each position.
Fractional positions:
Ru1 0.8777 0.3741 0.3741  6 Ru 2.49-2.53
Ru2 0.3741 0.8777 0.3741  6 Ru 2.49-2.53
Ru3 0.3741 0.3741 0.3741  6 Ru 2.49-2.53
Ru4 0.3741 0.3741 0.8777  6 Ru 2.49-2.53
W1 0.7500 0.7500 0.7500  12 Ru 2.95, 4 Ir 3.08
Ir1 0.0000 0.0000 0.0000  12 Ru 2.94, 4 W 3.08

=====

This record from Alexandria via LeMat-Bulk describes a relaxed IrRuW2 crystal. The functional is PBE.

Calculated values
Space group ... No. 123
ΔE to the lowest computed polymorph ... 26.2 meV per atom
Calculated volume ... 60 Å³/cell
E_tot ... -44.50 eV/cell
Total moment ... 0.000 μB/cell
Energy of formation from the pure elements ... -0.46 eV/f.u.

a b c (Å): 2.7883 2.7883 7.7791
angles (deg): 90.00 90.00 89.99
Closest atoms and distances in Å follow each position.
Fractional positions:
W1 0.0000 0.0000 0.9966  4 Ru 2.75, 4 Ir 2.79, 4 W 2.79
W2 0.0000 0.0000 0.5034  4 Ru 2.75, 4 Ir 2.79, 4 W 2.79
Ru1 0.5000 0.5000 0.7500  8 W 2.75, 4 Ru 2.79
Ir1 0.5000 0.5000 0.2500  8 W 2.79, 4 Ir 2.79

=====

This record from Alexandria via LeMat-Bulk describes a relaxed IrRuW2 crystal. The functional is PBE.

Calculated values
Space group ... No. 25
ΔE to the lowest computed polymorph ... 19.3 meV per atom
Calculated volume ... 60 Å³/cell
E_tot ... -44.53 eV/cell
Total moment ... 0.000 μB/cell
Energy of formation from the pure elements ... -0.49 eV/f.u.

a b c (Å): 4.4875 2.7967 4.8166
angles (deg): 90.01 90.00 90.00
Closest atoms and distances in Å follow each position.
Fractional positions:
Ir1 0.0000 0.6250 0.4466  8 W 2.74-2.79, 2 Ir 2.80, 2 Ru 2.84
Ru1 0.5000 0.6250 0.8066  8 W 2.73-2.81, 2 Ru 2.80, 2 Ir 2.84
W1 0.5000 0.1247 0.3004  4 Ir 2.74, 4 Ru 2.76-2.81, 4 W 2.80-2.82
W2 0.0000 0.1253 0.9465  4 Ru 2.73, 4 Ir 2.78-2.79, 4 W 2.80-2.82